# Sr2ReRh PBE-GGA relaxed
data_Sr2ReRh
_cell_length_a 6.776
_cell_length_b 9.077
_cell_length_c 2.994
_cell_angle_alpha 90.00
_cell_angle_beta 90.00
_cell_angle_gamma 90.00
_space_group_name_H-M_alt 'C m m m'
_space_group_IT_number 65
_space_group_name_Hall '-C 2 2'
loop_
_atom_site_label
_atom_site_type_symbol
_atom_site_fract_x
_atom_site_fract_y
_atom_site_fract_z
Sr1 Sr 0.250 0.250 0.000
Re1 Re 0.000 0.000 0.500
Rh1 Rh 0.000 0.500 0.500
# Energy of formation (kJ/mol of formula units): 332
# Uncorrected energy (eV for the cell shown): -39.44
# Energy above the most stable polymorph in this dataset (meV/atom): 688